1.
Density functional theory data (PBE-GGA) for an optimized crystal structure of GaFeIr2.

Lattice parameters (Å, degrees): 6.6338 6.6338 6.6338 131.72 131.72 70.67
Closest atoms and distances in Å follow each position.
Fractional coordinates of all 8 atoms:
Ga1 0.0000 0.0000 0.0000  4 Ir 2.46
Ga2 0.7500 0.2500 0.5000  4 Ir 2.46
Fe1 0.2500 0.7500 0.5000  4 Ir 2.25
Fe2 0.5000 0.5000 0.0000  4 Ir 2.25
Ir1 0.1585 0.6250 0.0335  2 Fe 2.25, 2 Ga 2.46
Ir2 0.3750 0.4085 0.5335  2 Fe 2.25, 2 Ga 2.46
Ir3 0.5915 0.1250 0.9665  2 Fe 2.25, 2 Ga 2.46
Ir4 0.8750 0.8415 0.4665  2 Fe 2.25, 2 Ga 2.46

Computed properties:
The calculation puts the total magnetization at 0.0 μB per formula unit. As for the density of states at the Fermi level: 7.7 states/eV/cell. The value obtained for the formation energy is 0.793 eV per atom. For the volume, the calculation gives 80 Å³/f.u.

2.
Density functional theory data (PBE-GGA) for an optimized crystal structure of PmTa6N12.

Lattice parameters (Å, degrees): 6.3219 6.3219 6.3219 102.62 102.62 102.62
Closest atoms and distances in Å follow each position.
Fractional coordinates of all 19 atoms:
Pm1 0.0000 0.0000 0.0000  6 N 2.43
Ta1 0.1682 0.6003 0.2727  4 N 2.01-2.07
Ta2 0.2727 0.1682 0.6003  4 N 2.01-2.07
Ta3 0.3997 0.7273 0.8318  4 N 2.01-2.07
Ta4 0.6003 0.2727 0.1682  4 N 2.01-2.07
Ta5 0.7273 0.8318 0.3997  4 N 2.01-2.07
Ta6 0.8318 0.3997 0.7273  4 N 2.01-2.07
N1 0.0758 0.8880 0.3468  2 Ta 2.02-2.04
N2 0.1120 0.6532 0.9242  2 Ta 2.02-2.04
N3 0.1882 0.4365 0.5230  2 Ta 2.01-2.07
N4 0.3468 0.0758 0.8880  2 Ta 2.02-2.04
N5 0.4365 0.5230 0.1882  2 Ta 2.01-2.07
N6 0.4770 0.8118 0.5635  2 Ta 2.01-2.07
N7 0.5230 0.1882 0.4365  2 Ta 2.01-2.07
N8 0.5635 0.4770 0.8118  2 Ta 2.01-2.07
N9 0.6532 0.9242 0.1120  2 Ta 2.02-2.04
N10 0.8118 0.5635 0.4770  2 Ta 2.01-2.07
N11 0.8880 0.3468 0.0758  2 Ta 2.02-2.04
N12 0.9242 0.1120 0.6532  2 Ta 2.02-2.04

Computed properties:
Its final energy is -190.15 eV/f.u. The calculation puts the total magnetization at 0.0 μB per formula unit. As for the density of states at the Fermi level: 4.6 states/eV/cell. For the volume, the calculation gives 231 Å³/f.u.

volume of number 1 (GaFeIr2)?
80 Å³/f.u.

What did the second record say?
Density functional theory data (PBE-GGA) for an optimized crystal structure of PmTa6N12.

Lattice parameters (Å, degrees): 6.3219 6.3219 6.3219 102.62 102.62 102.62
Closest atoms and distances in Å follow each position.
Fractional coordinates of all 19 atoms:
Pm1 0.0000 0.0000 0.0000  6 N 2.43
Ta1 0.1682 0.6003 0.2727  4 N 2.01-2.07
Ta2 0.2727 0.1682 0.6003  4 N 2.01-2.07
Ta3 0.3997 0.7273 0.8318  4 N 2.01-2.07
Ta4 0.6003 0.2727 0.1682  4 N 2.01-2.07
Ta5 0.7273 0.8318 0.3997  4 N 2.01-2.07
Ta6 0.8318 0.3997 0.7273  4 N 2.01-2.07
N1 0.0758 0.8880 0.3468  2 Ta 2.02-2.04
N2 0.1120 0.6532 0.9242  2 Ta 2.02-2.04
N3 0.1882 0.4365 0.5230  2 Ta 2.01-2.07
N4 0.3468 0.0758 0.8880  2 Ta 2.02-2.04
N5 0.4365 0.5230 0.1882  2 Ta 2.01-2.07
N6 0.4770 0.8118 0.5635  2 Ta 2.01-2.07
N7 0.5230 0.1882 0.4365  2 Ta 2.01-2.07
N8 0.5635 0.4770 0.8118  2 Ta 2.01-2.07
N9 0.6532 0.9242 0.1120  2 Ta 2.02-2.04
N10 0.8118 0.5635 0.4770  2 Ta 2.01-2.07
N11 0.8880 0.3468 0.0758  2 Ta 2.02-2.04
N12 0.9242 0.1120 0.6532  2 Ta 2.02-2.04

Computed properties:
Its final energy is -190.15 eV/f.u. The calculation puts the total magnetization at 0.0 μB per formula unit. As for the density of states at the Fermi level: 4.6 states/eV/cell. For the volume, the calculation gives 231 Å³/f.u.

What is the volume in the second record?
231 Å³/f.u.

Among the records above, which one has the highest volume?
PmTa6N12